(1)
Pm2Pr3Ag3 | Alexandria | PBE-GGA | optimized geometry; space-group type = No. 71
1.0
-1.895 2.738 11.170
1.895 -2.738 11.170
1.895 2.738 -11.170
Pm Pr Ag
2 3 3
direct
0.231 0.231 0.000
0.769 0.769 0.000
0.000 0.000 0.000
0.379 0.879 0.500
0.621 0.121 0.500
0.119 0.619 0.500
0.500 0.500 0.000
0.881 0.381 0.500

***

(2)
AcTbSmDy | Alexandria | PBE-GGA | optimized geometry; space-group type = No. 25; distance to the lowest polymorph of the same formula = 0.357 eV per formula unit
1.0
3.532 0.000 0.000
0.000 5.763 0.000
0.000 0.000 7.031
Ac Tb Sm Dy
1 1 1 1
direct
0.000 0.000 0.000
0.500 0.500 0.741
0.000 0.500 0.282
0.000 0.000 0.516

***

| no. | ΔH_f (0 K) (meV per atom) | density of states at the Fermi level (states/eV/atom) | E_tot (Ha/atom) |
| --- | --- | --- | --- |
| 1 | -172 | 1.12 | -0.155 |
| 2 | 218 | 1.92 | -0.158 |